Record 1
{"formula": "PmZnGa2", "functional": "GGA-PBE", "state": "relaxed", "ef_ev_per_atom": -0.2604, "dos_at_fermi_per_ev_atom": 0.70, "energy_ev_per_atom": -3.280, "lattice_angstrom": [[4.884, 0.000, 0.000], [2.442, 4.230, 0.000], [2.442, 1.410, 3.988]], "species": ["Pm", "Zn", "Ga", "Ga"], "fractional_positions": [[0.500, 0.500, 0.500], [0.000, 0.000, 0.000], [0.250, 0.250, 0.250], [0.750, 0.750, 0.750]]}

Record 2
{"formula": "SiSbTe2W", "functional": "GGA-PBE", "state": "relaxed", "raw_formation_energy_mev_per_atom": 1000, "dos_at_fermi_per_ev_atom": 0.98, "energy_ev_per_atom": -4.756, "lattice_angstrom": [[5.273, 0.000, 0.000], [0.000, 5.273, 0.000], [0.000, 0.000, 5.304]], "species": ["Te", "Te", "Sb", "Si", "W"], "fractional_positions": [[0.000, 0.500, 0.000], [0.500, 0.000, 0.000], [0.000, 0.000, 0.500], [0.500, 0.500, 0.500], [0.000, 0.000, 0.000]]}

Record 3
{"formula": "AcP3Pd7", "functional": "GGA-PBE", "state": "relaxed", "ef_ev_per_atom": -0.5217, "dos_at_fermi_per_ev_atom": 0.92, "energy_ev_per_atom": -5.675, "lattice_angstrom": [[6.835, 0.000, 3.681], [2.426, 6.389, 3.681], [-0.089, -0.061, 8.351]], "species": ["P", "P", "P", "P", "P", "P", "Pd", "Pd", "Pd", "Pd", "Pd", "Pd", "Pd", "Pd", "Pd", "Pd", "Pd", "Pd", "Pd", "Pd", "Ac", "Ac"], "fractional_positions": [[0.929, 0.250, 0.250], [0.429, 0.071, 0.750], [0.750, 0.429, 0.750], [0.071, 0.750, 0.750], [0.571, 0.929, 0.250], [0.250, 0.571, 0.250], [0.418, 0.848, 0.084], [0.851, 0.652, 0.416], [0.082, 0.851, 0.416], [0.250, 0.250, 0.250], [0.152, 0.351, 0.916], [0.649, 0.418, 0.084], [0.348, 0.918, 0.584], [0.848, 0.649, 0.084], [0.351, 0.582, 0.916], [0.750, 0.750, 0.750], [0.582, 0.152, 0.916], [0.918, 0.149, 0.584], [0.652, 0.082, 0.416], [0.149, 0.348, 0.584], [0.500, 0.500, 0.500], [0.000, 0.000, 0.000]]}

Record 4
{"formula": "Nd2Dy5Ho12", "functional": "GGA-PBE", "state": "relaxed", "ef_ev_per_atom": 0.0200, "dos_at_fermi_per_ev_atom": 1.42, "energy_ev_per_atom": -4.584, "lattice_angstrom": [[-2.451, 5.196, -2.163], [-9.332, -3.966, -4.755], [6.652, 2.767, 13.667]], "species": ["Ho", "Ho", "Ho", "Ho", "Ho", "Ho", "Ho", "Ho", "Ho", "Ho", "Ho", "Ho", "Nd", "Nd", "Dy", "Dy", "Dy", "Dy", "Dy"], "fractional_positions": [[0.527, 0.790, 0.447], [0.685, 0.529, 0.132], [0.105, 0.159, 0.292], [0.367, 0.052, 0.761], [0.790, 0.681, 0.921], [0.210, 0.319, 0.079], [0.473, 0.210, 0.553], [0.633, 0.948, 0.239], [0.895, 0.841, 0.708], [0.315, 0.471, 0.868], [0.946, 0.419, 0.604], [0.054, 0.581, 0.396], [0.264, 0.894, 0.974], [0.736, 0.106, 0.026], [0.579, 0.371, 0.344], [0.159, 0.738, 0.185], [0.421, 0.629, 0.656], [0.841, 0.262, 0.815], [0.000, 0.000, 0.500]]}

Record 5
{"formula": "ReSb2Br", "functional": "GGA-PBE", "state": "relaxed", "raw_formation_energy_mev_per_atom": 715, "dos_at_fermi_per_ev_atom": 0.68, "energy_ev_per_atom": -4.877, "lattice_angstrom": [[-1.188, -2.923, -6.934], [-2.468, -0.895, 5.123], [-2.726, 1.533, 0.097]], "species": ["Sb", "Sb", "Br", "Re"], "fractional_positions": [[0.500, 0.000, 0.500], [0.000, 0.000, 0.000], [0.000, 0.500, 0.500], [0.500, 0.500, 0.000]]}

Record 6
{"formula": "Sc3CuSe", "functional": "GGA-PBE", "state": "relaxed", "raw_formation_energy_mev_per_atom": -691, "dos_at_fermi_per_ev_atom": 0.95, "energy_ev_per_atom": -6.006, "lattice_angstrom": [[3.557, 0.000, -0.634], [-0.147, 5.574, -0.827], [-0.036, 0.029, 10.085]], "species": ["Sc", "Sc", "Sc", "Sc", "Sc", "Sc", "Se", "Se", "Cu", "Cu"], "fractional_positions": [[0.003, 0.754, 0.005], [0.193, 0.612, 0.386], [0.373, 0.931, 0.746], [0.997, 0.246, 0.995], [0.627, 0.069, 0.254], [0.807, 0.388, 0.614], [0.414, 0.461, 0.828], [0.586, 0.539, 0.172], [0.229, 0.125, 0.459], [0.771, 0.875, 0.541]]}